1.
This record from the Alexandria database describes a geometry-optimized CaHgRu structure. The functional is PBE.

Calculated values
E_form: 4.39 kcal/mol of atoms
density of states at the Fermi level: 2.983 states/eV/f.u.
DFT total energy: -11.01 eV per formula unit

a b c (Å): 5.619 5.619 5.619
angles (deg): 142.88 142.79 53.57
Positions (direct):
Ru 0.311 0.311 0.000
Ca 0.995 0.995 0.000
Hg 0.694 0.694 0.000

---

2.
This record from the Alexandria database describes a geometry-optimized CaHgRu2 structure. The functional is PBE.

Calculated values
E_form: 8.35 kcal/mol of atoms
density of states at the Fermi level: 4.593 states/eV/f.u.
DFT total energy: -19.41 eV per formula unit

a b c (Å): 5.819 5.819 5.819
angles (deg): 149.43 130.79 59.05
Each line ends with the local moment (μB).
Positions (direct):
Ru 0.982 0.982 0.000  0.27
Ru 0.780 0.280 0.500  0.47
Ca 0.510 0.510 0.000  -0.01
Hg 0.228 0.728 0.500  -0.01

---

3.
This record from the Alexandria database describes a geometry-optimized Ca2HgRu structure. The functional is PBE.

Calculated values
E_form: -1.09 kcal/mol of atoms
density of states at the Fermi level: 3.999 states/eV/f.u.
DFT total energy: -13.77 eV per formula unit

a b c (Å): 3.527 3.495 8.393
angles (deg): 65.40 90.00 90.00
Positions (direct):
Ru 0.500 0.750 0.750
Ca 0.000 0.034 0.966
Ca 0.000 0.466 0.534
Hg 0.500 0.250 0.250

---

4.
This record from the Alexandria database describes a geometry-optimized CaHgRu2 structure. The functional is PBE.

Calculated values
E_form: 3.93 kcal/mol of atoms
density of states at the Fermi level: 3.418 states/eV/f.u.
DFT total energy: -20.17 eV per formula unit

a b c (Å): 3.599 2.957 7.914
angles (deg): 67.98 90.00 90.00
Positions (direct):
Ru 0.000 0.954 0.046
Ru 0.500 0.308 0.190
Ca 0.000 0.522 0.478
Hg 0.500 0.715 0.785

---

5.
This record from the Alexandria database describes a geometry-optimized Ca2HgRu2 structure. The functional is PBE.

Calculated values
E_form: 1.20 kcal/mol of atoms
density of states at the Fermi level: 3.809 states/eV/f.u.
DFT total energy: -22.60 eV per formula unit

a b c (Å): 6.939 6.939 4.594
angles (deg): 90.00 90.00 90.00
Each line ends with the local moment (μB).
Positions (direct):
Ru 0.381 0.881 0.000  0.26
Ru 0.881 0.619 0.000  0.26
Ru 0.619 0.119 0.000  0.26
Ru 0.119 0.381 0.000  0.26
Ca 0.176 0.676 0.500  0.00
Ca 0.676 0.824 0.500  0.00
Ca 0.824 0.324 0.500  0.00
Ca 0.324 0.176 0.500  0.00
Hg 0.000 0.000 0.000  0.00
Hg 0.500 0.500 0.000  0.00

---

6.
This record from the Alexandria database describes a geometry-optimized Ca2HgRu structure. The functional is PBE.

Calculated values
E_form: 0.41 kcal/mol of atoms
density of states at the Fermi level: 2.682 states/eV/f.u.
DFT total energy: -13.51 eV per formula unit

a b c (Å): 6.080 6.080 5.000
angles (deg): 67.46 67.46 34.39
Positions (direct):
Ru 0.765 0.765 0.746
Ca 0.033 0.033 0.960
Ca 0.239 0.239 0.266
Hg 0.463 0.463 0.528

---

7.
This record from the Alexandria database describes a geometry-optimized CaHg2Ru structure. The functional is PBE.

Calculated values
E_form: 4.20 kcal/mol of atoms
density of states at the Fermi level: 3.458 states/eV/f.u.
DFT total energy: -11.15 eV per formula unit

a b c (Å): 4.786 3.288 5.764
angles (deg): 89.79 90.00 90.00
Each line ends with the local moment (μB).
Positions (direct):
Ru 0.000 0.252 0.511  0.92
Ca 0.500 0.750 0.731  -0.01
Hg 0.000 0.247 0.991  -0.01
Hg 0.500 0.251 0.267  0.00

---

8.
This record from the Alexandria database describes a geometry-optimized CaHg2Ru structure. The functional is PBE.

Calculated values
E_form: 5.74 kcal/mol of atoms
density of states at the Fermi level: 2.432 states/eV/f.u.
DFT total energy: -10.89 eV per formula unit

a b c (Å): 4.905 4.905 4.905
angles (deg): 60.00 60.00 60.00
Positions (direct):
Ru 0.750 0.750 0.750
Ca 0.500 0.500 0.500
Hg 0.000 0.000 0.000
Hg 0.250 0.250 0.250

---

9.
This record from the Alexandria database describes a geometry-optimized CaSiHg2Ru structure. The functional is PBE.

Calculated values
E_form (uncorrected): 4.38 eV per formula unit
density of states at the Fermi level: 3.431 states/eV/f.u.
DFT total energy: -12.93 eV per formula unit

a b c (Å): 4.925 5.601 4.925
angles (deg): 90.00 90.00 90.00
Each line ends with the local moment (μB).
Positions (direct):
Ru 0.500 0.500 0.500  2.24
Ca 0.000 0.500 0.000  -0.01
Si 0.000 0.000 0.000  0.08
Hg 0.000 0.000 0.500  0.01
Hg 0.500 0.000 0.000  0.01

---

10.
This record from the Alexandria database describes a geometry-optimized CaSmHgRu structure. The functional is PBE.

Calculated values
E_form: -3.73 kcal/mol of atoms
density of states at the Fermi level: 2.419 states/eV/f.u.
DFT total energy: -16.95 eV per formula unit

a b c (Å): 5.093 5.093 5.093
angles (deg): 60.00 60.00 60.00
Positions (direct):
Ru 0.750 0.750 0.750
Ca 0.500 0.500 0.500
Hg 0.250 0.250 0.250
Sm 0.000 0.000 0.000

---

11.
This record from the Alexandria database describes a geometry-optimized CaTaHg2Ru structure. The functional is PBE.

Calculated values
E_form: 10.19 kcal/mol of atoms
density of states at the Fermi level: 3.631 states/eV/f.u.
DFT total energy: -21.52 eV per formula unit

a b c (Å): 5.281 5.281 4.700
angles (deg): 90.00 90.00 90.00
Each line ends with the local moment (μB).
Positions (direct):
Ru 0.000 0.000 0.000  0.00
Ca 0.500 0.500 0.500  0.03
Hg 0.000 0.500 0.000  0.00
Hg 0.500 0.000 0.000  0.00
Ta 0.000 0.000 0.500  0.47

---

12.
This record from the Alexandria database describes a geometry-optimized CaTbHgRu structure. The functional is PBE.

Calculated values
E_form: -4.29 kcal/mol of atoms
density of states at the Fermi level: 2.588 states/eV/f.u.
DFT total energy: -16.95 eV per formula unit

a b c (Å): 5.045 5.045 5.045
angles (deg): 60.00 60.00 60.00
Positions (direct):
Ru 0.500 0.500 0.500
Ca 0.250 0.250 0.250
Tb 0.750 0.750 0.750
Hg 0.000 0.000 0.000

---

13.
This record from the Alexandria database describes a geometry-optimized CaHg2TeRu structure. The functional is PBE.

Calculated values
E_form (uncorrected): 4.87 eV per formula unit
density of states at the Fermi level: 3.187 states/eV/f.u.
DFT total energy: -10.15 eV per formula unit

a b c (Å): 5.622 5.175 5.622
angles (deg): 90.00 90.00 90.00
Each line ends with the local moment (μB).
Positions (direct):
Ru 0.000 0.500 0.000  1.88
Ca 0.000 0.000 0.000  -0.05
Te 0.500 0.500 0.500  0.06
Hg 0.000 0.000 0.500  0.01
Hg 0.500 0.000 0.000  0.02

---

14.
This record from the Alexandria database describes a geometry-optimized Ca2HgS2 structure. The functional is PBE.

Calculated values
E_form (uncorrected): -6.93 eV per formula unit
density of states at the Fermi level: 0.000 states/eV/f.u.
DFT total energy: -19.49 eV per formula unit

a b c (Å): 5.222 5.222 7.154
angles (deg): 68.60 68.60 90.00
Positions (direct):
S 0.317 0.317 0.365
S 0.683 0.683 0.635
Ca 0.750 0.250 0.500
Ca 0.250 0.750 0.500
Hg 0.000 0.000 0.000

---

15.
This record from the Alexandria database describes a geometry-optimized CaHgS2 structure. The functional is PBE.

Calculated values
E_form (uncorrected): -4.13 eV per formula unit
density of states at the Fermi level: 0.000 states/eV/f.u.
DFT total energy: -14.69 eV per formula unit

a b c (Å): 18.861 7.913 7.913
angles (deg): 71.65 114.33 65.67
Positions (direct):
S 0.018 0.686 0.587
S 0.482 0.087 0.186
S 0.982 0.314 0.413
S 0.518 0.913 0.814
S 0.765 0.261 0.372
S 0.735 0.872 0.761
S 0.235 0.739 0.628
S 0.265 0.128 0.239
S 0.493 0.574 0.216
S 0.007 0.716 0.074
S 0.507 0.426 0.784
S 0.993 0.284 0.926
S 0.750 0.330 0.830
S 0.250 0.670 0.170
S 0.750 0.809 0.309
S 0.250 0.191 0.691
Ca 0.118 0.225 0.323
Ca 0.382 0.823 0.725
Ca 0.882 0.775 0.677
Ca 0.618 0.177 0.275
Ca 0.367 0.337 0.699
Ca 0.133 0.199 0.837
Ca 0.633 0.663 0.301
Ca 0.867 0.801 0.163
Hg 0.373 0.407 0.165
Hg 0.127 0.665 0.907
Hg 0.627 0.593 0.835
Hg 0.873 0.335 0.093
Hg 0.383 0.888 0.205
Hg 0.117 0.705 0.388
Hg 0.617 0.112 0.795
Hg 0.883 0.295 0.612

---

16.
This record from the Alexandria database describes a geometry-optimized CaHgS2 structure. The functional is PBE.

Calculated values
E_form (uncorrected): -4.16 eV per formula unit
density of states at the Fermi level: 0.852 states/eV/f.u.
DFT total energy: -14.72 eV per formula unit

a b c (Å): 3.992 3.992 5.687
angles (deg): 90.00 90.00 90.00
Positions (direct):
S 0.500 0.500 0.500
S 0.000 0.000 0.000
Ca 0.000 0.000 0.500
Hg 0.500 0.500 0.000

---

17.
This record from the Alexandria database describes a geometry-optimized CaHgS2 structure. The functional is PBE.

Calculated values
E_form (uncorrected): -4.18 eV per formula unit
density of states at the Fermi level: 0.000 states/eV/f.u.
DFT total energy: -14.74 eV per formula unit

a b c (Å): 7.175 3.906 13.394
angles (deg): 90.00 90.00 90.00
Positions (direct):
S 0.690 0.250 0.486
S 0.810 0.750 0.986
S 0.310 0.750 0.514
S 0.190 0.250 0.014
S 0.412 0.250 0.767
S 0.088 0.750 0.267
S 0.588 0.750 0.233
S 0.912 0.250 0.733
Ca 0.370 0.250 0.345
Ca 0.130 0.750 0.845
Ca 0.630 0.750 0.655
Ca 0.870 0.250 0.155
Hg 0.132 0.250 0.592
Hg 0.368 0.750 0.092
Hg 0.868 0.750 0.408
Hg 0.632 0.250 0.908

---

18.
This record from the Alexandria database describes a geometry-optimized CaHgS2 structure. The functional is PBE.

Calculated values
E_form (uncorrected): -4.09 eV per formula unit
density of states at the Fermi level: 0.000 states/eV/f.u.
DFT total energy: -14.65 eV per formula unit

a b c (Å): 5.705 5.705 6.884
angles (deg): 65.52 65.52 90.00
Positions (direct):
S 0.755 0.755 0.489
S 0.995 0.495 0.011
S 0.245 0.245 0.511
S 0.505 0.005 0.989
Ca 0.500 0.500 0.000
Ca 0.250 0.750 0.500
Hg 0.000 0.000 0.000
Hg 0.750 0.250 0.500

---

19.
This record from the Alexandria database describes a geometry-optimized CaHg4S5 structure. The functional is PBE.

Calculated values
E_form (uncorrected): -3.80 eV per formula unit
density of states at the Fermi level: 1.933 states/eV/f.u.
DFT total energy: -27.65 eV per formula unit

a b c (Å): 6.527 6.859 6.859
angles (deg): 76.92 61.59 61.59
Positions (direct):
Ca 0.034 0.000 0.000
Hg 0.449 0.401 0.805
Hg 0.850 0.805 0.599
Hg 0.255 0.195 0.401
Hg 0.656 0.599 0.195
S 0.840 0.420 0.801
S 0.261 0.801 0.580
S 0.641 0.199 0.420
S 0.061 0.580 0.199
S 0.464 0.000 0.000

---

20.
This record from the Alexandria database describes a geometry-optimized CaHgS2 structure. The functional is PBE.

Calculated values
E_form (uncorrected): -4.38 eV per formula unit
density of states at the Fermi level: 0.000 states/eV/f.u.
DFT total energy: -14.93 eV per formula unit

a b c (Å): 7.639 4.210 8.866
angles (deg): 76.26 55.74 90.01
Positions (direct):
S 0.998 0.726 0.169
S 0.111 0.426 0.769
S 0.498 0.218 0.169
S 0.611 0.918 0.769
Ca 0.805 0.822 0.969
Ca 0.305 0.322 0.969
Hg 0.805 0.822 0.469
Hg 0.305 0.822 0.469

---

21.
This record from the Alexandria database describes a geometry-optimized CaHgS2 structure. The functional is PBE.

Calculated values
E_form (uncorrected): -3.68 eV per formula unit
density of states at the Fermi level: 0.000 states/eV/f.u.
DFT total energy: -14.24 eV per formula unit

a b c (Å): 7.060 7.060 6.081
angles (deg): 54.51 54.51 90.00
Positions (direct):
S 0.803 0.303 0.000
S 0.197 0.697 0.000
S 0.303 0.197 0.000
S 0.697 0.803 0.000
Ca 0.750 0.750 0.500
Ca 0.250 0.250 0.500
Hg 0.750 0.250 0.500
Hg 0.250 0.750 0.500

---

22.
This record from the Alexandria database describes a geometry-optimized CaHgS2 structure. The functional is PBE.

Calculated values
E_form (uncorrected): -4.39 eV per formula unit
density of states at the Fermi level: 0.000 states/eV/f.u.
DFT total energy: -14.95 eV per formula unit

a b c (Å): 4.237 4.238 7.486
angles (deg): 82.46 79.08 115.66
Positions (direct):
S 0.787 0.140 0.955
S 0.696 0.619 0.566
Ca 0.242 0.880 0.760
Hg 0.742 0.880 0.260

---

23.
This record from the Alexandria database describes a geometry-optimized Ca2HgS structure. The functional is PBE.

Calculated values
E_form (uncorrected): -3.17 eV per formula unit
density of states at the Fermi level: 4.349 states/eV/f.u.
DFT total energy: -11.61 eV per formula unit

a b c (Å): 5.233 5.233 5.233
angles (deg): 60.00 60.00 60.00
Positions (direct):
S 0.000 0.000 0.000
Ca 0.250 0.250 0.250
Ca 0.750 0.750 0.750
Hg 0.500 0.500 0.500

---

24.
This record from the Alexandria database describes a geometry-optimized CaHg3S structure. The functional is PBE.

Calculated values
E_form (uncorrected): 0.57 eV per formula unit
density of states at the Fermi level: 2.270 states/eV/f.u.
DFT total energy: -6.46 eV per formula unit

a b c (Å): 5.321 5.321 5.321
angles (deg): 90.00 90.00 90.00
Positions (direct):
S 0.000 0.000 0.000
Ca 0.500 0.500 0.500
Hg 0.000 0.500 0.000
Hg 0.000 0.000 0.500
Hg 0.500 0.000 0.000

---

25.
This record from the Alexandria database describes a geometry-optimized CaHgS2 structure. The functional is PBE.

Calculated values
E_form (uncorrected): -4.35 eV per formula unit
density of states at the Fermi level: 0.000 states/eV/f.u.
DFT total energy: -14.91 eV per formula unit

a b c (Å): 7.007 7.574 4.193
angles (deg): 89.98 90.00 97.11
Positions (direct):
S 0.846 0.654 0.070
S 0.846 0.154 0.615
S 0.256 0.050 0.070
S 0.256 0.550 0.615
Ca 0.051 0.852 0.562
Ca 0.051 0.352 0.123
Hg 0.551 0.102 0.343
Hg 0.551 0.602 0.342

---

26.
This record from the Alexandria database describes a geometry-optimized CaHgS2 structure. The functional is PBE.

Calculated values
E_form (uncorrected): -4.01 eV per formula unit
density of states at the Fermi level: 0.036 states/eV/f.u.
DFT total energy: -14.57 eV per formula unit

a b c (Å): 6.884 7.862 6.758
angles (deg): 90.00 90.00 90.00
Positions (direct):
S 0.582 0.871 0.185
S 0.418 0.129 0.685
S 0.918 0.371 0.685
S 0.082 0.629 0.185
S 0.918 0.871 0.690
S 0.082 0.129 0.190
S 0.582 0.371 0.190
S 0.418 0.629 0.690
Ca 0.250 0.381 0.937
Ca 0.750 0.619 0.437
Ca 0.250 0.881 0.437
Ca 0.750 0.119 0.937
Hg 0.249 0.883 0.938
Hg 0.751 0.117 0.438
Hg 0.251 0.383 0.438
Hg 0.749 0.617 0.938